Entry 1:
# K2TlSb2, optimized geometry, DFT GGA-PBE
data_K2TlSb2
_cell_length_a 8.118
_cell_length_b 8.118
_cell_length_c 8.118
_cell_angle_alpha 141.48
_cell_angle_beta 141.48
_cell_angle_gamma 55.61
_symmetry_space_group_name_H-M 'P 1'
_symmetry_Int_Tables_number 1
loop_
_symmetry_equiv_pos_as_xyz
'x,y,z'
loop_
_atom_site_label
_atom_site_type_symbol
_atom_site_fract_x
_atom_site_fract_y
_atom_site_fract_z
_atom_site_occupancy
K1 K 0.250 0.750 0.500 1
K2 K 0.750 0.250 0.500 1
Tl1 Tl 0.000 0.000 0.000 1
Sb1 Sb 0.406 0.406 0.000 1
Sb2 Sb 0.594 0.594 0.000 1
# **Energy relative to the lowest polymorph listed for this composition**: 0.221 eV/atom
# **Mass density**: 4.2 g cm⁻³
# **E_form (uncorrected)**: -2.36 kcal/mol of atoms
# **Crystal system**: tetragonal
# **SG**: I4/mmm (139)

Entry 2:
# K2Tl15Sb2, optimized geometry, DFT GGA-PBE
data_K2Tl15Sb2
_cell_length_a 8.706
_cell_length_b 8.706
_cell_length_c 8.706
_cell_angle_alpha 82.64
_cell_angle_beta 82.64
_cell_angle_gamma 82.64
_symmetry_space_group_name_H-M 'P 1'
_symmetry_Int_Tables_number 1
loop_
_symmetry_equiv_pos_as_xyz
'x,y,z'
loop_
_atom_site_label
_atom_site_type_symbol
_atom_site_fract_x
_atom_site_fract_y
_atom_site_fract_z
_atom_site_occupancy
K1 K 0.171 0.171 0.171 1
K2 K 0.829 0.829 0.829 1
Tl1 Tl 0.000 0.500 0.500 1
Tl2 Tl 0.153 0.153 0.654 1
Tl3 Tl 0.153 0.654 0.153 1
Tl4 Tl 0.204 0.500 0.796 1
Tl5 Tl 0.204 0.796 0.500 1
Tl6 Tl 0.346 0.847 0.847 1
Tl7 Tl 0.500 0.000 0.500 1
Tl8 Tl 0.500 0.204 0.796 1
Tl9 Tl 0.500 0.500 0.000 1
Tl10 Tl 0.500 0.796 0.204 1
Tl11 Tl 0.654 0.153 0.153 1
Tl12 Tl 0.796 0.204 0.500 1
Tl13 Tl 0.796 0.500 0.204 1
Tl14 Tl 0.847 0.346 0.847 1
Tl15 Tl 0.847 0.847 0.346 1
Sb1 Sb 0.410 0.410 0.410 1
Sb2 Sb 0.590 0.590 0.590 1
# **Mass density**: 8.7 g cm⁻³
# **E_form (uncorrected)**: -0.30 kcal/mol of atoms
# **Crystal system**: trigonal
# **SG**: R-3m (166)

Entry 3:
# K2TlSb, optimized geometry, DFT GGA-PBE
data_K2TlSb
_cell_length_a 5.986
_cell_length_b 5.986
_cell_length_c 5.986
_cell_angle_alpha 123.48
_cell_angle_beta 123.48
_cell_angle_gamma 84.07
_symmetry_space_group_name_H-M 'P 1'
_symmetry_Int_Tables_number 1
loop_
_symmetry_equiv_pos_as_xyz
'x,y,z'
loop_
_atom_site_label
_atom_site_type_symbol
_atom_site_fract_x
_atom_site_fract_y
_atom_site_fract_z
_atom_site_occupancy
K1 K 0.000 0.000 0.000 1
K2 K 0.750 0.250 0.500 1
Tl1 Tl 0.500 0.500 0.000 1
Sb1 Sb 0.250 0.750 0.500 1
# **Mass density**: 4.7 g cm⁻³
# **E_form (uncorrected)**: -6.26 kcal/mol of atoms
# **Crystal system**: tetragonal
# **SG**: I-4m2 (119)

Entry 4:
# K2Tl3Sb, optimized geometry, DFT GGA-PBE
data_K2Tl3Sb
_cell_length_a 6.799
_cell_length_b 6.799
_cell_length_c 8.710
_cell_angle_alpha 129.70
_cell_angle_beta 129.70
_cell_angle_gamma 48.07
_symmetry_space_group_name_H-M 'P 1'
_symmetry_Int_Tables_number 1
loop_
_symmetry_equiv_pos_as_xyz
'x,y,z'
loop_
_atom_site_label
_atom_site_type_symbol
_atom_site_fract_x
_atom_site_fract_y
_atom_site_fract_z
_atom_site_occupancy
K1 K 0.000 0.000 0.000 1
K2 K 0.115 0.115 0.594 1
Tl1 Tl 0.385 0.385 0.178 1
Tl2 Tl 0.404 0.404 0.558 1
Tl3 Tl 0.720 0.720 0.052 1
Sb1 Sb 0.716 0.716 0.412 1
# **Mass density**: 6.3 g cm⁻³
# **E_form (uncorrected)**: -4.53 kcal/mol of atoms
# **Crystal system**: monoclinic
# **SG**: Cm (8)

Entry 5:
# K2TlSb, optimized geometry, DFT GGA-PBE
data_K2TlSb
_cell_length_a 12.419
_cell_length_b 12.419
_cell_length_c 12.419
_cell_angle_alpha 155.89
_cell_angle_beta 155.89
_cell_angle_gamma 34.36
_symmetry_space_group_name_H-M 'P 1'
_symmetry_Int_Tables_number 1
loop_
_symmetry_equiv_pos_as_xyz
'x,y,z'
loop_
_atom_site_label
_atom_site_type_symbol
_atom_site_fract_x
_atom_site_fract_y
_atom_site_fract_z
_atom_site_occupancy
K1 K 0.117 0.625 0.992 1
K2 K 0.375 0.367 0.492 1
K3 K 0.633 0.125 0.008 1
K4 K 0.875 0.883 0.508 1
Tl1 Tl 0.250 0.750 0.500 1
Tl2 Tl 0.500 0.500 0.000 1
Sb1 Sb 0.000 0.000 0.000 1
Sb2 Sb 0.750 0.250 0.500 1
# **Mass density**: 4.2 g cm⁻³
# **E_form (uncorrected)**: 0.59 kcal/mol of atoms
# **Crystal system**: tetragonal
# **SG**: I-42d (122)

Entry 6:
# KTl3Sb3, optimized geometry, DFT GGA-PBE
data_KTl3Sb3
_cell_length_a 8.414
_cell_length_b 8.414
_cell_length_c 8.414
_cell_angle_alpha 90.00
_cell_angle_beta 90.00
_cell_angle_gamma 90.00
_symmetry_space_group_name_H-M 'P 1'
_symmetry_Int_Tables_number 1
loop_
_symmetry_equiv_pos_as_xyz
'x,y,z'
loop_
_atom_site_label
_atom_site_type_symbol
_atom_site_fract_x
_atom_site_fract_y
_atom_site_fract_z
_atom_site_occupancy
K1 K 0.000 0.000 0.000 1
K2 K 0.500 0.500 0.500 1
Tl1 Tl 0.000 0.250 0.500 1
Tl2 Tl 0.000 0.750 0.500 1
Tl3 Tl 0.250 0.500 0.000 1
Tl4 Tl 0.500 0.000 0.250 1
Tl5 Tl 0.500 0.000 0.750 1
Tl6 Tl 0.750 0.500 0.000 1
Sb1 Sb 0.000 0.500 0.250 1
Sb2 Sb 0.000 0.500 0.750 1
Sb3 Sb 0.250 0.000 0.500 1
Sb4 Sb 0.500 0.250 0.000 1
Sb5 Sb 0.500 0.750 0.000 1
Sb6 Sb 0.750 0.000 0.500 1
# **Energy relative to the lowest polymorph listed for this composition**: 0.114 eV/atom
# **Mass density**: 5.7 g cm⁻³
# **E_form (uncorrected)**: 1.14 kcal/mol of atoms
# **Crystal system**: cubic
# **SG**: Pm-3n (223)

Entry 7:
# K2TlSb, optimized geometry, DFT GGA-PBE
data_K2TlSb
_cell_length_a 5.417
_cell_length_b 4.712
_cell_length_c 7.050
_cell_angle_alpha 90.00
_cell_angle_beta 112.57
_cell_angle_gamma 90.00
_symmetry_space_group_name_H-M 'P 1'
_symmetry_Int_Tables_number 1
loop_
_symmetry_equiv_pos_as_xyz
'x,y,z'
loop_
_atom_site_label
_atom_site_type_symbol
_atom_site_fract_x
_atom_site_fract_y
_atom_site_fract_z
_atom_site_occupancy
K1 K 0.000 0.000 0.000 1
K2 K 0.289 0.500 0.577 1
Tl1 Tl 0.574 0.500 0.150 1
Sb1 Sb 0.719 0.000 0.436 1
# **Mass density**: 4.0 g cm⁻³
# **E_form (uncorrected)**: -7.30 kcal/mol of atoms
# **Crystal system**: monoclinic
# **SG**: Pm (6)

Entry 8:
# K2TlSb, optimized geometry, DFT GGA-PBE
data_K2TlSb
_cell_length_a 5.886
_cell_length_b 5.886
_cell_length_c 5.886
_cell_angle_alpha 60.00
_cell_angle_beta 60.00
_cell_angle_gamma 60.00
_symmetry_space_group_name_H-M 'P 1'
_symmetry_Int_Tables_number 1
loop_
_symmetry_equiv_pos_as_xyz
'x,y,z'
loop_
_atom_site_label
_atom_site_type_symbol
_atom_site_fract_x
_atom_site_fract_y
_atom_site_fract_z
_atom_site_occupancy
K1 K 0.250 0.250 0.250 1
K2 K 0.750 0.750 0.750 1
Tl1 Tl 0.000 0.000 0.000 1
Sb1 Sb 0.500 0.500 0.500 1
# **Mass density**: 4.7 g cm⁻³
# **E_form (uncorrected)**: -5.79 kcal/mol of atoms
# **Crystal system**: cubic
# **SG**: Fm-3m (225)